## NaV5O8 (GGA-PBEsol)

Data for an optimized crystal structure of NaV5O8.

Output
The final energy comes out at -485.9 eV/cell. As for the energy above the most stable polymorph in this dataset: 94 meV per atom. The density of states at the Fermi level is 37.37 states/eV/cell. The energy relative to the elements, uncorrected is -2.137 eV per atom. The value obtained for the volume is 10.558 Å³ per atom.

```
data_NaV5O8
_chemical_formula_sum 'Na4 V20 O32'
_cell_length_a 8.393
_cell_length_b 8.393
_cell_length_c 8.393
_cell_angle_alpha 90.00
_cell_angle_beta 90.00
_cell_angle_gamma 90.00
_space_group_name_H-M_alt 'P 43 3 2'
_space_group_IT_number 212
_space_group_name_Hall 'P 4acd 2ab 3'
loop_
_atom_site_label
_atom_site_type_symbol
_atom_site_fract_x
_atom_site_fract_y
_atom_site_fract_z
Na1 Na 0.125 0.125 0.125
V1 V 0.005 0.995 0.495
V2 V 0.119 0.869 0.875
O1 O 0.104 0.855 0.116
O2 O 0.123 0.377 0.623
```